1.
Material: Zn2RuClF
Method: DFT, PBE
State: relaxed

Space-group type ... No. 123
Total DFT energy (no corrections) ... -15.85 eV for the cell shown
Excess energy over the best structure of this formula in the dataset ... 0.000 eV per atom
Formation energy (no corrections) ... -0.062 eV/atom
Magnetic moment ... 0.0 μB per formula unit
Calculated volume ... 106 Å³/cell

Cell lengths 4.953, 4.953, 4.326 Å; angles 90.00, 90.00, 90.00 degrees
Sites, in units of the cell vectors:
Zn 0.000 0.500 0.000
Zn 0.500 0.000 0.000
Ru 0.000 0.000 0.000
Cl 0.000 0.000 0.500
F 0.500 0.500 0.500


2.
Material: Zn2RuClF
Method: DFT, PBE
State: relaxed

Space-group type ... No. 123
Total DFT energy (no corrections) ... -14.09 eV for the cell shown
Excess energy over the best structure of this formula in the dataset ... 0.354 eV per atom
Formation energy (no corrections) ... 0.291 eV/atom
Magnetic moment ... 2.1 μB per formula unit
Calculated volume ... 92 Å³/cell

Cell lengths 4.546, 4.546, 4.456 Å; angles 90.00, 90.00, 90.00 degrees
Sites, in units of the cell vectors:
Zn 0.000 0.500 0.000
Zn 0.500 0.000 0.000
Ru 0.000 0.000 0.500
Cl 0.500 0.500 0.500
F 0.000 0.000 0.000


3.
Material: Sb2SClF
Method: DFT, PBE
State: relaxed

Space-group type ... No. 123
Total DFT energy (no corrections) ... -14.33 eV for the cell shown
Formation energy (no corrections) ... 0.353 eV/atom
Magnetic moment ... 0.0 μB per formula unit
Calculated volume ... 121 Å³/cell

Cell lengths 5.258, 5.258, 4.377 Å; angles 90.00, 90.00, 90.00 degrees
Sites, in units of the cell vectors:
Sb 0.000 0.500 0.000
Sb 0.500 0.000 0.000
S 0.000 0.000 0.500
Cl 0.500 0.500 0.000
F 0.500 0.500 0.500


4.
Material: SbSCl2F
Method: DFT, PBE
State: relaxed

Space-group type ... No. 123
Total DFT energy (no corrections) ... -14.28 eV for the cell shown
Excess energy over the best structure of this formula in the dataset ... 0.000 eV per atom
Formation energy (no corrections) ... -0.092 eV/atom
Magnetic moment ... 1.6 μB per formula unit
Calculated volume ... 137 Å³/cell

Cell lengths 5.128, 5.128, 5.210 Å; angles 90.00, 90.00, 90.00 degrees
Sites, in units of the cell vectors:
Sb 0.000 0.000 0.000
S 0.000 0.000 0.500
Cl 0.000 0.500 0.000
Cl 0.500 0.000 0.000
F 0.500 0.500 0.500


5.
Material: SbSCl2F
Method: DFT, PBE
State: relaxed

Space-group type ... No. 123
Total DFT energy (no corrections) ... -13.04 eV for the cell shown
Excess energy over the best structure of this formula in the dataset ... 0.247 eV per atom
Formation energy (no corrections) ... 0.155 eV/atom
Magnetic moment ... 0.7 μB per formula unit
Calculated volume ... 107 Å³/cell

Cell lengths 5.407, 5.407, 3.644 Å; angles 90.00, 90.00, 90.00 degrees
Sites, in units of the cell vectors:
Sb 0.000 0.000 0.000
S 0.500 0.500 0.000
Cl 0.000 0.500 0.500
Cl 0.500 0.000 0.500
F 0.500 0.500 0.500


6.
Material: SeSCl2F
Method: DFT, PBE
State: relaxed

Space-group type ... No. 123
Total DFT energy (no corrections) ... -11.75 eV for the cell shown
Excess energy over the best structure of this formula in the dataset ... 0.000 eV per atom
Formation energy (no corrections) ... 0.286 eV/atom
Magnetic moment ... 1.7 μB per formula unit
Calculated volume ... 119 Å³/cell

Cell lengths 4.848, 4.848, 5.049 Å; angles 90.00, 90.00, 90.00 degrees
Sites, in units of the cell vectors:
Se 0.000 0.000 0.000
S 0.000 0.000 0.500
Cl 0.000 0.500 0.000
Cl 0.500 0.000 0.000
F 0.500 0.500 0.500


7.
Material: SeSCl2F
Method: DFT, PBE
State: relaxed

Space-group type ... No. 123
Total DFT energy (no corrections) ... -10.11 eV for the cell shown
Excess energy over the best structure of this formula in the dataset ... 0.326 eV per atom
Formation energy (no corrections) ... 0.613 eV/atom
Magnetic moment ... 1.6 μB per formula unit
Calculated volume ... 108 Å³/cell

Cell lengths 5.482, 5.482, 3.598 Å; angles 90.00, 90.00, 90.00 degrees
Sites, in units of the cell vectors:
Se 0.000 0.000 0.000
S 0.500 0.500 0.000
Cl 0.000 0.500 0.500
Cl 0.500 0.000 0.500
F 0.500 0.500 0.500


8.
Material: SiSCl2F
Method: DFT, PBE
State: relaxed

Space-group type ... No. 123
Total DFT energy (no corrections) ... -15.52 eV for the cell shown
Excess energy over the best structure of this formula in the dataset ... 0.000 eV per atom
Formation energy (no corrections) ... -0.081 eV/atom
Magnetic moment ... 0.1 μB per formula unit
Calculated volume ... 94 Å³/cell

Cell lengths 4.567, 4.567, 4.505 Å; angles 90.00, 90.00, 90.00 degrees
Sites, in units of the cell vectors:
Si 0.000 0.000 0.000
S 0.000 0.000 0.500
Cl 0.000 0.500 0.000
Cl 0.500 0.000 0.000
F 0.500 0.500 0.500


9.
Material: SiS2ClF
Method: DFT, PBE
State: relaxed

Space-group type ... No. 123
Total DFT energy (no corrections) ... -14.53 eV for the cell shown
Excess energy over the best structure of this formula in the dataset ... 0.429 eV per atom
Formation energy (no corrections) ... 0.573 eV/atom
Magnetic moment ... 0.0 μB per formula unit
Calculated volume ... 94 Å³/cell

Cell lengths 4.137, 4.137, 5.509 Å; angles 90.00, 90.00, 90.00 degrees
Sites, in units of the cell vectors:
Si 0.000 0.000 0.000
S 0.000 0.500 0.500
S 0.500 0.000 0.500
Cl 0.500 0.500 0.000
F 0.500 0.500 0.500


10.
Material: SiS2ClF
Method: DFT, PBE
State: relaxed

Space-group type ... No. 123
Total DFT energy (no corrections) ... -16.67 eV for the cell shown
Excess energy over the best structure of this formula in the dataset ... 0.000 eV per atom
Formation energy (no corrections) ... 0.144 eV/atom
Magnetic moment ... 1.7 μB per formula unit
Calculated volume ... 93 Å³/cell

Cell lengths 4.489, 4.489, 4.600 Å; angles 90.00, 90.00, 90.00 degrees
Sites, in units of the cell vectors:
Si 0.000 0.000 0.000
S 0.000 0.500 0.000
S 0.500 0.000 0.000
Cl 0.000 0.000 0.500
F 0.500 0.500 0.500


11.
Material: SiSCl2F
Method: DFT, PBE
State: relaxed

Space-group type ... No. 123
Total DFT energy (no corrections) ... -13.08 eV for the cell shown
Excess energy over the best structure of this formula in the dataset ... 0.489 eV per atom
Formation energy (no corrections) ... 0.408 eV/atom
Magnetic moment ... 1.2 μB per formula unit
Calculated volume ... 104 Å³/cell

Cell lengths 5.351, 5.351, 3.636 Å; angles 90.00, 90.00, 90.00 degrees
Sites, in units of the cell vectors:
Si 0.000 0.000 0.000
S 0.500 0.500 0.000
Cl 0.000 0.500 0.500
Cl 0.500 0.000 0.500
F 0.500 0.500 0.500


12.
Material: SnS2Cl2F2
Method: DFT, PBE
State: relaxed

Space-group type ... No. 12
Total DFT energy (no corrections) ... -53.13 eV for the cell shown
Formation energy (no corrections) ... -0.982 eV/atom
Magnetic moment ... 1.1 μB per formula unit
Calculated volume ... 392 Å³/cell

Cell lengths 12.148, 3.564, 10.220 Å; angles 90.00, 117.67, 90.00 degrees
Sites, in units of the cell vectors:
Sn 0.000 0.000 0.000
Sn 0.500 0.500 0.000
S 0.088 0.000 0.560
S 0.412 0.500 0.440
S 0.588 0.500 0.560
S 0.912 0.000 0.440
Cl 0.066 0.500 0.876
Cl 0.434 0.000 0.124
Cl 0.566 0.000 0.876
Cl 0.934 0.500 0.124
F 0.166 0.000 0.167
F 0.334 0.500 0.833
F 0.666 0.500 0.167
F 0.834 0.000 0.833


13.
Material: Ta2SClF
Method: DFT, PBE
State: relaxed

Space-group type ... No. 123
Total DFT energy (no corrections) ... -28.37 eV for the cell shown
Formation energy (no corrections) ... 0.637 eV/atom
Magnetic moment ... 0.0 μB per formula unit
Calculated volume ... 90 Å³/cell

Cell lengths 4.507, 4.507, 4.448 Å; angles 90.00, 90.00, 90.00 degrees
Sites, in units of the cell vectors:
Ta 0.000 0.500 0.000
Ta 0.500 0.000 0.000
S 0.000 0.000 0.500
Cl 0.500 0.500 0.000
F 0.500 0.500 0.500


14.
Material: TaSCl2F
Method: DFT, PBE
State: relaxed

Space-group type ... No. 123
Total DFT energy (no corrections) ... -25.27 eV for the cell shown
Excess energy over the best structure of this formula in the dataset ... 0.000 eV per atom
Formation energy (no corrections) ... -0.745 eV/atom
Magnetic moment ... 0.3 μB per formula unit
Calculated volume ... 109 Å³/cell

Cell lengths 4.816, 4.816, 4.679 Å; angles 90.00, 90.00, 90.00 degrees
Sites, in units of the cell vectors:
Ta 0.000 0.000 0.000
S 0.000 0.000 0.500
Cl 0.000 0.500 0.000
Cl 0.500 0.000 0.000
F 0.500 0.500 0.500


15.
Material: TaSCl2F
Method: DFT, PBE
State: relaxed

Space-group type ... No. 123
Total DFT energy (no corrections) ... -18.61 eV for the cell shown
Excess energy over the best structure of this formula in the dataset ... 1.333 eV per atom
Formation energy (no corrections) ... 0.587 eV/atom
Magnetic moment ... 1.3 μB per formula unit
Calculated volume ... 90 Å³/cell

Cell lengths 4.987, 4.987, 3.609 Å; angles 90.00, 90.00, 90.00 degrees
Sites, in units of the cell vectors:
Ta 0.000 0.000 0.000
S 0.500 0.500 0.000
Cl 0.000 0.500 0.500
Cl 0.500 0.000 0.500
F 0.500 0.500 0.500


16.
Material: TcSCl2F
Method: DFT, PBE
State: relaxed

Space-group type ... No. 123
Total DFT energy (no corrections) ... -20.75 eV for the cell shown
Excess energy over the best structure of this formula in the dataset ... 0.000 eV per atom
Formation energy (no corrections) ... -0.139 eV/atom
Magnetic moment ... 0.0 μB per formula unit
Calculated volume ... 100 Å³/cell

Cell lengths 4.731, 4.731, 4.486 Å; angles 90.00, 90.00, 90.00 degrees
Sites, in units of the cell vectors:
Tc 0.000 0.000 0.000
S 0.000 0.000 0.500
Cl 0.000 0.500 0.000
Cl 0.500 0.000 0.000
F 0.500 0.500 0.500


17.
Material: TcSCl2F
Method: DFT, PBE
State: relaxed

Space-group type ... No. 123
Total DFT energy (no corrections) ... -16.76 eV for the cell shown
Excess energy over the best structure of this formula in the dataset ... 0.799 eV per atom
Formation energy (no corrections) ... 0.660 eV/atom
Magnetic moment ... 3.6 μB per formula unit
Calculated volume ... 103 Å³/cell

Cell lengths 5.335, 5.335, 3.630 Å; angles 90.00, 90.00, 90.00 degrees
Sites, in units of the cell vectors:
Tc 0.000 0.000 0.000
S 0.500 0.500 0.000
Cl 0.000 0.500 0.500
Cl 0.500 0.000 0.500
F 0.500 0.500 0.500


18.
Material: TeS2ClF
Method: DFT, PBE
State: relaxed

Space-group type ... No. 123
Total DFT energy (no corrections) ... -13.09 eV for the cell shown
Excess energy over the best structure of this formula in the dataset ... 0.000 eV per atom
Formation energy (no corrections) ... 0.405 eV/atom
Magnetic moment ... 1.9 μB per formula unit
Calculated volume ... 134 Å³/cell

Cell lengths 5.090, 5.090, 5.164 Å; angles 90.00, 90.00, 90.00 degrees
Sites, in units of the cell vectors:
Te 0.000 0.000 0.000
S 0.000 0.500 0.000
S 0.500 0.000 0.000
Cl 0.000 0.000 0.500
F 0.500 0.500 0.500


19.
Material: TeS2ClF
Method: DFT, PBE
State: relaxed

Space-group type ... No. 123
Total DFT energy (no corrections) ... -12.42 eV for the cell shown
Excess energy over the best structure of this formula in the dataset ... 0.134 eV per atom
Formation energy (no corrections) ... 0.540 eV/atom
Magnetic moment ... 0.0 μB per formula unit
Calculated volume ... 98 Å³/cell

Cell lengths 4.235, 4.235, 5.478 Å; angles 90.00, 90.00, 90.00 degrees
Sites, in units of the cell vectors:
Te 0.000 0.000 0.000
S 0.000 0.500 0.500
S 0.500 0.000 0.500
Cl 0.500 0.500 0.000
F 0.500 0.500 0.500


20.
Material: TlSCl2F
Method: DFT, PBE
State: relaxed

Space-group type ... No. 123
Total DFT energy (no corrections) ... -14.64 eV for the cell shown
Excess energy over the best structure of this formula in the dataset ... 0.000 eV per atom
Formation energy (no corrections) ... -0.516 eV/atom
Magnetic moment ... 0.0 μB per formula unit
Calculated volume ... 114 Å³/cell

Cell lengths 5.258, 5.258, 4.111 Å; angles 90.00, 90.00, 90.00 degrees
Sites, in units of the cell vectors:
Tl 0.000 0.000 0.000
S 0.500 0.500 0.500
Cl 0.000 0.500 0.500
Cl 0.500 0.000 0.500
F 0.500 0.500 0.000